{"formula": "TlNiCl2", "functional": "SCAN", "state": "PBEsol geometry", "lattice": [[-1.616, 2.351, -1.776], [0.366, -1.849, -2.782], [-6.791, -3.556, 1.471]], "species": ["Cl", "Cl", "Ni", "Tl"], "frac_coords": [[0.500, 0.500, 0.372], [0.000, 0.000, 0.026], [0.000, 0.000, 0.313], [0.500, 0.500, 0.789]], "relative_energy_mev_per_atom": 0, "e_form_raw_ev_per_atom": -0.551, "sg": "P4mm"}

***

{"formula": "TlNiCl2", "functional": "SCAN", "state": "PBEsol geometry", "lattice": [[3.427, 0.000, 0.000], [0.000, 4.932, 0.000], [0.000, 0.000, 4.932]], "species": ["Ni", "Tl", "Cl", "Cl"], "frac_coords": [[0.500, 0.500, 0.500], [0.500, 0.000, 0.000], [0.000, 0.500, 0.000], [0.000, 0.000, 0.500]], "relative_energy_mev_per_atom": 374, "e_form_raw_ev_per_atom": -0.177, "sg": "P4/mmm"}

***

{"formula": "NiWCl2", "functional": "SCAN", "state": "PBEsol geometry", "lattice": [[4.226, 0.000, 0.000], [2.113, 3.660, 0.000], [2.113, 1.220, 3.451]], "species": ["Cl", "Ni", "Cl", "W"], "frac_coords": [[0.250, 0.250, 0.250], [0.000, 0.000, 0.000], [0.750, 0.750, 0.750], [0.500, 0.500, 0.500]], "relative_energy_mev_per_atom": 891, "e_form_raw_ev_per_atom": 1.025, "sg": "Fm-3m"}

***

{"formula": "NiWCl2", "functional": "SCAN", "state": "PBEsol geometry", "lattice": [[-0.446, -0.221, 2.820], [1.408, -3.969, -0.088], [5.617, 4.233, -0.235]], "species": ["Cl", "W", "Ni", "Cl"], "frac_coords": [[0.649, 0.649, 0.299], [0.000, 0.500, 0.000], [0.500, 0.000, 0.000], [0.351, 0.351, 0.701]], "relative_energy_mev_per_atom": 0, "e_form_raw_ev_per_atom": 0.134, "sg": "Immm"}

***

{"formula": "NiW2Cl", "functional": "SCAN", "state": "PBEsol geometry", "lattice": [[2.776, 0.000, 0.000], [0.000, 2.776, 0.000], [0.000, 0.000, 8.121]], "species": ["Ni", "Cl", "W", "W"], "frac_coords": [[0.500, 0.500, 0.795], [0.000, 0.000, 0.458], [0.000, 0.000, 0.992], [0.500, 0.500, 0.254]], "relative_energy_mev_per_atom": 0, "e_form_raw_ev_per_atom": 0.507, "sg": "P4mm"}

***

{"formula": "NiW2Cl", "functional": "SCAN", "state": "PBEsol geometry", "lattice": [[4.243, 0.000, 0.000], [0.000, 4.243, 0.000], [-2.121, -2.121, 2.992]], "species": ["Cl", "Ni", "W", "W"], "frac_coords": [[0.500, 0.500, 0.000], [0.000, 0.000, 0.000], [0.750, 0.250, 0.500], [0.250, 0.750, 0.500]], "relative_energy_mev_per_atom": 405, "e_form_raw_ev_per_atom": 0.912, "sg": "I4/mmm"}

***

{"formula": "NiW2Cl", "functional": "SCAN", "state": "PBEsol geometry", "lattice": [[-1.477, 0.036, -2.291], [-1.397, -0.807, 2.197], [-2.231, 8.125, 1.566]], "species": ["Cl", "W", "W", "Ni"], "frac_coords": [[0.500, 0.500, 0.500], [0.000, 0.000, 0.761], [0.000, 0.000, 0.239], [0.500, 0.500, 0.000]], "relative_energy_mev_per_atom": 285, "e_form_raw_ev_per_atom": 0.792, "sg": "Cmmm"}

***

{"formula": "YNiCl", "functional": "SCAN", "state": "PBEsol geometry", "lattice": [[4.512, 0.000, 0.000], [2.256, 3.907, 0.000], [2.256, 1.302, 3.684]], "species": ["Cl", "Ni", "Y"], "frac_coords": [[0.000, 0.000, 0.000], [0.500, 0.500, 0.500], [0.250, 0.250, 0.250]], "e_form_raw_ev_per_atom": -0.503, "sg": "F-43m"}

***

{"formula": "YNiCl2", "functional": "SCAN", "state": "PBEsol geometry", "lattice": [[-2.765, -1.626, 2.907], [4.463, -1.789, 0.021], [-0.526, 3.944, 1.706]], "species": ["Y", "Cl", "Cl", "Ni"], "frac_coords": [[0.000, 0.000, 0.000], [0.750, 0.500, 0.250], [0.250, 0.500, 0.750], [0.500, 0.000, 0.500]], "relative_energy_mev_per_atom": 195, "e_form_raw_ev_per_atom": -0.813, "sg": "I4/mmm"}

***

{"formula": "YNiCl2", "functional": "SCAN", "state": "PBEsol geometry", "lattice": [[-0.643, -1.411, 2.982], [-1.361, -2.655, -1.550], [6.348, -3.176, -0.134]], "species": ["Ni", "Y", "Cl", "Cl"], "frac_coords": [[0.000, 0.000, 0.489], [0.500, 0.500, 0.715], [0.500, 0.500, 0.349], [0.000, 0.000, 0.947]], "relative_energy_mev_per_atom": 0, "e_form_raw_ev_per_atom": -1.008, "sg": "P4mm"}

***

{"formula": "YNiCl2", "functional": "SCAN", "state": "PBEsol geometry", "lattice": [[4.680, 0.000, 0.000], [2.340, 4.053, 0.000], [2.340, 1.351, 3.821]], "species": ["Cl", "Y", "Ni", "Cl"], "frac_coords": [[0.750, 0.750, 0.750], [0.250, 0.250, 0.250], [0.500, 0.500, 0.500], [0.000, 0.000, 0.000]], "relative_energy_mev_per_atom": 368, "e_form_raw_ev_per_atom": -0.640, "sg": "F-43m"}

***

{"formula": "YNiCl", "functional": "SCAN", "state": "PBEsol geometry", "lattice": [[-2.028, -0.905, -2.503], [2.638, -0.262, -2.043], [0.223, -4.169, 3.563]], "species": ["Cl", "Y", "Ni"], "frac_coords": [[0.995, 0.995, 0.990], [0.683, 0.683, 0.366], [0.322, 0.322, 0.644]], "e_form_raw_ev_per_atom": -0.719, "sg": "I4mm"}